# 1
Compound: CdTc2Te
Source: the Alexandria database
Functional: PBE
Structure: optimized geometry

## Properties
Relative energy among the computed polymorphs: 301.5 meV per atom
Total magnetic moment: 0.06 μB/atom
Energy relative to the elements, uncorrected: 2.08 eV/f.u.
Energy: -22.7 eV for the cell shown

Cell and atoms, written as CIF:
```
data_CdTc2Te
_chemical_formula_sum 'Cd1 Tc2 Te1'
_cell_length_a 8.7854
_cell_length_b 8.7854
_cell_length_c 8.7854
_cell_angle_alpha 20.45
_cell_angle_beta 20.45
_cell_angle_gamma 20.45
_symmetry_space_group_name_H-M 'P 1'
_symmetry_Int_Tables_number 1
_symmetry_space_group_name_Hall 'P 1'
loop_
_atom_site_label
_atom_site_fract_x
_atom_site_fract_y
_atom_site_fract_z
Cd1 0.7500 0.7500 0.7500
Tc1 0.9935 0.9935 0.9935
Tc2 0.5065 0.5065 0.5065
Te1 0.2500 0.2500 0.2500
```

=====

# 2
Compound: CdTcTe2
Source: the Alexandria database
Functional: PBE
Structure: optimized geometry

## Properties
Total magnetic moment: 0.00 μB/atom
Energy relative to the elements, uncorrected: 0.84 eV/f.u.
Energy: -16.7 eV for the cell shown

Cell and atoms, written as CIF:
```
data_CdTcTe2
_chemical_formula_sum 'Cd1 Tc1 Te2'
_cell_length_a 7.5272
_cell_length_b 7.5272
_cell_length_c 7.5272
_cell_angle_alpha 155.14
_cell_angle_beta 146.64
_cell_angle_gamma 42.05
_symmetry_space_group_name_H-M 'P 1'
_symmetry_Int_Tables_number 1
_symmetry_space_group_name_Hall 'P 1'
loop_
_atom_site_label
_atom_site_fract_x
_atom_site_fract_y
_atom_site_fract_z
Cd1 0.4354 0.4354 0.0000
Tc1 0.2195 0.7195 0.5000
Te1 0.0685 0.0685 0.0000
Te2 0.7766 0.2766 0.5000
```

=====

# 3
Compound: CdTcTe2
Source: the Alexandria database
Functional: PBE
Structure: optimized geometry

## Properties
Total magnetic moment: 0.05 μB/atom
Energy relative to the elements, uncorrected: 0.59 eV/f.u.
Energy: -17.0 eV for the cell shown

Cell and atoms, written as CIF:
```
data_CdTcTe2
_chemical_formula_sum 'Cd1 Tc1 Te2'
_cell_length_a 10.9626
_cell_length_b 10.9626
_cell_length_c 10.9626
_cell_angle_alpha 17.17
_cell_angle_beta 17.17
_cell_angle_gamma 17.17
_symmetry_space_group_name_H-M 'P 1'
_symmetry_Int_Tables_number 1
_symmetry_space_group_name_Hall 'P 1'
loop_
_atom_site_label
_atom_site_fract_x
_atom_site_fract_y
_atom_site_fract_z
Cd1 0.4839 0.4839 0.4839
Tc1 0.7489 0.7489 0.7489
Te1 0.0265 0.0265 0.0265
Te2 0.2406 0.2406 0.2406
```

=====

# 4
Compound: CdTcTe
Source: the Alexandria database
Functional: PBE
Structure: optimized geometry

## Properties
Relative energy among the computed polymorphs: 0.0 meV per atom
Total magnetic moment: 0.00 μB/atom
Energy relative to the elements, uncorrected: 0.43 eV/f.u.
Energy: -14.0 eV for the cell shown

Cell and atoms, written as CIF:
```
data_CdTcTe
_chemical_formula_sum 'Cd1 Tc1 Te1'
_cell_length_a 6.9156
_cell_length_b 6.9156
_cell_length_c 6.9156
_cell_angle_alpha 153.03
_cell_angle_beta 153.03
_cell_angle_gamma 38.51
_symmetry_space_group_name_H-M 'P 1'
_symmetry_Int_Tables_number 1
_symmetry_space_group_name_Hall 'P 1'
loop_
_atom_site_label
_atom_site_fract_x
_atom_site_fract_y
_atom_site_fract_z
Cd1 0.9647 0.9647 0.0000
Tc1 0.3234 0.3234 0.0000
Te1 0.7119 0.7119 0.0000
```

=====

# 5
Compound: CdTc2Te
Source: the Alexandria database
Functional: PBE
Structure: optimized geometry

## Properties
Relative energy among the computed polymorphs: 278.5 meV per atom
Total magnetic moment: 0.00 μB/atom
Energy relative to the elements, uncorrected: 1.99 eV/f.u.
Energy: -22.8 eV for the cell shown

Cell and atoms, written as CIF:
```
data_CdTc2Te
_chemical_formula_sum 'Cd1 Tc2 Te1'
_cell_length_a 4.5976
_cell_length_b 4.5976
_cell_length_c 4.5976
_cell_angle_alpha 60.00
_cell_angle_beta 60.00
_cell_angle_gamma 60.00
_symmetry_space_group_name_H-M 'P 1'
_symmetry_Int_Tables_number 1
_symmetry_space_group_name_Hall 'P 1'
loop_
_atom_site_label
_atom_site_fract_x
_atom_site_fract_y
_atom_site_fract_z
Te1 0.5000 0.5000 0.5000
Tc1 0.2500 0.2500 0.2500
Tc2 0.7500 0.7500 0.7500
Cd1 0.0000 0.0000 0.0000
```

=====

# 6
Compound: CdTc2Te
Source: the Alexandria database
Functional: PBE
Structure: optimized geometry

## Properties
Relative energy among the computed polymorphs: 309.5 meV per atom
Total magnetic moment: 0.00 μB/atom
Energy relative to the elements, uncorrected: 2.11 eV/f.u.
Energy: -22.7 eV for the cell shown

Cell and atoms, written as CIF:
```
data_CdTc2Te
_chemical_formula_sum 'Cd1 Tc2 Te1'
_cell_length_a 4.4811
_cell_length_b 4.4811
_cell_length_c 5.6601
_cell_angle_alpha 79.44
_cell_angle_beta 79.44
_cell_angle_gamma 41.13
_symmetry_space_group_name_H-M 'P 1'
_symmetry_Int_Tables_number 1
_symmetry_space_group_name_Hall 'P 1'
loop_
_atom_site_label
_atom_site_fract_x
_atom_site_fract_y
_atom_site_fract_z
Cd1 0.2500 0.2500 0.2500
Tc1 0.0049 0.0049 0.9686
Tc2 0.4951 0.4951 0.5314
Te1 0.7500 0.7500 0.7500
```

=====

# 7
Compound: CdTc4Te
Source: the Alexandria database
Functional: PBE
Structure: optimized geometry

## Properties
Total magnetic moment: 0.00 μB/atom
Energy relative to the elements, uncorrected: 3.35 eV/f.u.
Energy: -42.2 eV for the cell shown

Cell and atoms, written as CIF:
```
data_CdTc4Te
_chemical_formula_sum 'Cd1 Tc4 Te1'
_cell_length_a 5.3011
_cell_length_b 5.3011
_cell_length_c 5.3011
_cell_angle_alpha 60.00
_cell_angle_beta 60.00
_cell_angle_gamma 60.00
_symmetry_space_group_name_H-M 'P 1'
_symmetry_Int_Tables_number 1
_symmetry_space_group_name_Hall 'P 1'
loop_
_atom_site_label
_atom_site_fract_x
_atom_site_fract_y
_atom_site_fract_z
Cd1 0.0000 0.0000 0.0000
Tc1 0.8734 0.3755 0.3755
Tc2 0.3755 0.3755 0.8734
Tc3 0.3755 0.8734 0.3755
Tc4 0.3755 0.3755 0.3755
Te1 0.7500 0.7500 0.7500
```

=====

# 8
Compound: CdTc2Te
Source: the Alexandria database
Functional: PBE
Structure: optimized geometry

## Properties
Relative energy among the computed polymorphs: 454.8 meV per atom
Total magnetic moment: 0.00 μB/atom
Energy relative to the elements, uncorrected: 2.69 eV/f.u.
Energy: -22.1 eV for the cell shown

Cell and atoms, written as CIF:
```
data_CdTc2Te
_chemical_formula_sum 'Cd1 Tc2 Te1'
_cell_length_a 5.1371
_cell_length_b 5.1371
_cell_length_c 5.1371
_cell_angle_alpha 133.09
_cell_angle_beta 133.09
_cell_angle_gamma 68.52
_symmetry_space_group_name_H-M 'P 1'
_symmetry_Int_Tables_number 1
_symmetry_space_group_name_Hall 'P 1'
loop_
_atom_site_label
_atom_site_fract_x
_atom_site_fract_y
_atom_site_fract_z
Cd1 0.7500 0.2500 0.5000
Tc1 0.0000 0.0000 0.0000
Tc2 0.2500 0.7500 0.5000
Te1 0.5000 0.5000 0.0000
```

=====

# 9
Compound: CdTcTe2
Source: the Alexandria database
Functional: PBE
Structure: optimized geometry

## Properties
Total magnetic moment: 0.50 μB/atom
Energy relative to the elements, uncorrected: 3.22 eV/f.u.
Energy: -14.3 eV for the cell shown

Cell and atoms, written as CIF:
```
data_CdTcTe2
_chemical_formula_sum 'Cd1 Tc1 Te2'
_cell_length_a 5.0725
_cell_length_b 5.0725
_cell_length_c 5.0725
_cell_angle_alpha 60.00
_cell_angle_beta 60.00
_cell_angle_gamma 60.00
_symmetry_space_group_name_H-M 'P 1'
_symmetry_Int_Tables_number 1
_symmetry_space_group_name_Hall 'P 1'
loop_
_atom_site_label
_atom_site_fract_x
_atom_site_fract_y
_atom_site_fract_z
Cd1 0.5000 0.5000 0.5000
Tc1 0.2500 0.2500 0.2500
Te1 0.0000 0.0000 0.0000
Te2 0.7500 0.7500 0.7500
```

=====

# 10
Compound: CdTc2Te
Source: the Alexandria database
Functional: PBE
Structure: optimized geometry

## Properties
Relative energy among the computed polymorphs: 127.8 meV per atom
Total magnetic moment: 0.00 μB/atom
Energy relative to the elements, uncorrected: 1.39 eV/f.u.
Energy: -23.4 eV for the cell shown

Cell and atoms, written as CIF:
```
data_CdTc2Te
_chemical_formula_sum 'Cd1 Tc2 Te1'
_cell_length_a 10.3256
_cell_length_b 10.3256
_cell_length_c 10.3256
_cell_angle_alpha 16.76
_cell_angle_beta 16.76
_cell_angle_gamma 16.76
_symmetry_space_group_name_H-M 'P 1'
_symmetry_Int_Tables_number 1
_symmetry_space_group_name_Hall 'P 1'
loop_
_atom_site_label
_atom_site_fract_x
_atom_site_fract_y
_atom_site_fract_z
Cd1 0.7352 0.7352 0.7352
Tc1 0.9882 0.9882 0.9882
Tc2 0.2592 0.2592 0.2592
Te1 0.5174 0.5174 0.5174
```

=====

# 11
Compound: CdTcTe
Source: the Alexandria database
Functional: PBE
Structure: optimized geometry

## Properties
Relative energy among the computed polymorphs: 38.6 meV per atom
Total magnetic moment: 0.00 μB/atom
Energy relative to the elements, uncorrected: 0.55 eV/f.u.
Energy: -13.9 eV for the cell shown

Cell and atoms, written as CIF:
```
data_CdTcTe
_chemical_formula_sum 'Cd1 Tc1 Te1'
_cell_length_a 3.3585
_cell_length_b 3.3585
_cell_length_c 6.9073
_cell_angle_alpha 90.00
_cell_angle_beta 90.00
_cell_angle_gamma 120.00
_symmetry_space_group_name_H-M 'P 1'
_symmetry_Int_Tables_number 1
_symmetry_space_group_name_Hall 'P 1'
loop_
_atom_site_label
_atom_site_fract_x
_atom_site_fract_y
_atom_site_fract_z
Cd1 0.0000 0.0000 0.0438
Tc1 0.3333 0.6667 0.3528
Te1 0.6667 0.3333 0.6034
```

=====

# 12
Compound: CdTcTe2
Source: the Alexandria database
Functional: PBE
Structure: optimized geometry

## Properties
Total magnetic moment: 0.39 μB/atom
Energy relative to the elements, uncorrected: 2.20 eV/f.u.
Energy: -15.4 eV for the cell shown

Cell and atoms, written as CIF:
```
data_CdTcTe2
_chemical_formula_sum 'Cd1 Tc1 Te2'
_cell_length_a 5.0800
_cell_length_b 5.0826
_cell_length_c 3.4488
_cell_angle_alpha 90.00
_cell_angle_beta 90.00
_cell_angle_gamma 90.00
_symmetry_space_group_name_H-M 'P 1'
_symmetry_Int_Tables_number 1
_symmetry_space_group_name_Hall 'P 1'
loop_
_atom_site_label
_atom_site_fract_x
_atom_site_fract_y
_atom_site_fract_z
Cd1 0.5000 0.0000 0.5000
Tc1 0.0000 0.5000 0.5000
Te1 0.0000 0.0000 0.0000
Te2 0.5000 0.5000 0.0000
```

=====

# 13
Compound: CdTcTe2
Source: the Alexandria database
Functional: PBE
Structure: optimized geometry

## Properties
Total magnetic moment: 0.20 μB/atom
Energy relative to the elements, uncorrected: 2.31 eV/f.u.
Energy: -15.3 eV for the cell shown

Cell and atoms, written as CIF:
```
data_CdTcTe2
_chemical_formula_sum 'Cd1 Tc1 Te2'
_cell_length_a 12.1145
_cell_length_b 12.1145
_cell_length_c 12.1145
_cell_angle_alpha 14.81
_cell_angle_beta 14.81
_cell_angle_gamma 14.81
_symmetry_space_group_name_H-M 'P 1'
_symmetry_Int_Tables_number 1
_symmetry_space_group_name_Hall 'P 1'
loop_
_atom_site_label
_atom_site_fract_x
_atom_site_fract_y
_atom_site_fract_z
Te1 0.9272 0.9272 0.9272
Te2 0.0728 0.0728 0.0728
Tc1 0.0000 0.0000 0.0000
Cd1 0.5000 0.5000 0.5000
```

=====

# 14
Compound: CdTc2Te
Source: the Alexandria database
Functional: PBE
Structure: optimized geometry

## Properties
Relative energy among the computed polymorphs: 244.4 meV per atom
Total magnetic moment: 0.00 μB/atom
Energy relative to the elements, uncorrected: 1.85 eV/f.u.
Energy: -22.9 eV for the cell shown

Cell and atoms, written as CIF:
```
data_CdTc2Te
_chemical_formula_sum 'Cd1 Tc2 Te1'
_cell_length_a 3.2395
_cell_length_b 3.2395
_cell_length_c 6.6807
_cell_angle_alpha 90.00
_cell_angle_beta 90.00
_cell_angle_gamma 90.00
_symmetry_space_group_name_H-M 'P 1'
_symmetry_Int_Tables_number 1
_symmetry_space_group_name_Hall 'P 1'
loop_
_atom_site_label
_atom_site_fract_x
_atom_site_fract_y
_atom_site_fract_z
Cd1 0.5000 0.5000 0.7500
Tc1 0.0000 0.0000 0.0228
Tc2 0.0000 0.0000 0.4772
Te1 0.5000 0.5000 0.2500
```

=====

# 15
Compound: CdTcTe2
Source: the Alexandria database
Functional: PBE
Structure: optimized geometry

## Properties
Total magnetic moment: 0.00 μB/atom
Energy relative to the elements, uncorrected: 0.38 eV/f.u.
Energy: -17.2 eV for the cell shown

Cell and atoms, written as CIF:
```
data_CdTcTe2
_chemical_formula_sum 'Cd1 Tc1 Te2'
_cell_length_a 5.5164
_cell_length_b 5.5164
_cell_length_c 6.9504
_cell_angle_alpha 66.56
_cell_angle_beta 66.56
_cell_angle_gamma 35.12
_symmetry_space_group_name_H-M 'P 1'
_symmetry_Int_Tables_number 1
_symmetry_space_group_name_Hall 'P 1'
loop_
_atom_site_label
_atom_site_fract_x
_atom_site_fract_y
_atom_site_fract_z
Cd1 0.4523 0.4523 0.6316
Tc1 0.7350 0.7350 0.6232
Te1 0.0731 0.0731 0.9201
Te2 0.2395 0.2395 0.3252
```